a:
First-principles (PBE) data for a relaxed structure of PrYSi2, as listed in Alexandria via LeMat-Bulk.

Geometry as CIF:
```
data_PrYSi2
_space_group_name_H-M_alt 'P 1'
_space_group_IT_number 1
_cell_length_a 4.404
_cell_length_b 3.906
_cell_length_c 5.844
_cell_angle_alpha 90.00
_cell_angle_beta 112.12
_cell_angle_gamma 90.00
loop_
_space_group_symop_operation_xyz
'x,y,z'
loop_
_atom_site_label
_atom_site_type_symbol
_atom_site_fract_x
_atom_site_fract_y
_atom_site_fract_z
Pr1 Pr 0.441 0.500 0.421
Y1 Y 0.721 0.000 0.981
Si1 Si 0.158 0.500 0.854
Si2 Si 0.011 0.000 0.562
```



b:
First-principles (PBE) data for a relaxed structure of PrYSi2, as listed in Alexandria via LeMat-Bulk.

Geometry as CIF:
```
data_PrYSi2
_space_group_name_H-M_alt 'P 1'
_space_group_IT_number 1
_cell_length_a 4.662
_cell_length_b 4.662
_cell_length_c 5.948
_cell_angle_alpha 66.93
_cell_angle_beta 66.93
_cell_angle_gamma 60.00
loop_
_space_group_symop_operation_xyz
'x,y,z'
loop_
_atom_site_label
_atom_site_type_symbol
_atom_site_fract_x
_atom_site_fract_y
_atom_site_fract_z
Pr1 Pr 0.500 0.500 0.500
Y1 Y 0.000 0.000 0.000
Si1 Si 0.259 0.259 0.222
Si2 Si 0.741 0.741 0.778
```



Q: Which of them is the least stable? A: b.



a:
First-principles (PBE) data for a relaxed structure of PrY2Si, as listed in Alexandria via LeMat-Bulk.

Geometry as CIF:
```
data_PrY2Si
_space_group_name_H-M_alt 'P 1'
_space_group_IT_number 1
_cell_length_a 3.642
_cell_length_b 3.642
_cell_length_c 11.069
_cell_angle_alpha 80.53
_cell_angle_beta 80.53
_cell_angle_gamma 60.00
loop_
_space_group_symop_operation_xyz
'x,y,z'
loop_
_atom_site_label
_atom_site_type_symbol
_atom_site_fract_x
_atom_site_fract_y
_atom_site_fract_z
Pr1 Pr 0.000 0.000 0.000
Y1 Y 0.109 0.109 0.673
Y2 Y 0.891 0.891 0.327
Si1 Si 0.500 0.500 0.500
```



b:
First-principles (PBE) data for a relaxed structure of PrY2Si, as listed in Alexandria via LeMat-Bulk.

Geometry as CIF:
```
data_PrY2Si
_space_group_name_H-M_alt 'P 1'
_space_group_IT_number 1
_cell_length_a 3.851
_cell_length_b 3.851
_cell_length_c 9.866
_cell_angle_alpha 78.75
_cell_angle_beta 78.75
_cell_angle_gamma 60.00
loop_
_space_group_symop_operation_xyz
'x,y,z'
loop_
_atom_site_label
_atom_site_type_symbol
_atom_site_fract_x
_atom_site_fract_y
_atom_site_fract_z
Pr1 Pr 0.501 0.501 0.496
Y1 Y 0.060 0.060 0.819
Y2 Y 0.272 0.272 0.183
Si1 Si 0.666 0.666 0.002
```



Q: Which of them is the least stable? A: a.



a:
First-principles (PBE) data for a relaxed structure of Pr2ZnSi3, as listed in Alexandria via LeMat-Bulk.

Geometry as CIF:
```
data_Pr2ZnSi3
_space_group_name_H-M_alt 'P 1'
_space_group_IT_number 1
_cell_length_a 4.192
_cell_length_b 4.255
_cell_length_c 7.678
_cell_angle_alpha 106.09
_cell_angle_beta 105.84
_cell_angle_gamma 90.00
loop_
_space_group_symop_operation_xyz
'x,y,z'
loop_
_atom_site_label
_atom_site_type_symbol
_atom_site_fract_x
_atom_site_fract_y
_atom_site_fract_z
Pr1 Pr 0.128 0.128 0.256
Pr2 Pr 0.871 0.371 0.741
Zn1 Zn 0.460 0.960 0.921
Si1 Si 0.708 0.708 0.416
Si2 Si 0.541 0.541 0.083
Si3 Si 0.292 0.792 0.583
```



b:
First-principles (PBE) data for a relaxed structure of Pr2ZnSi3, as listed in Alexandria via LeMat-Bulk.

Geometry as CIF:
```
data_Pr2ZnSi3
_space_group_name_H-M_alt 'P 1'
_space_group_IT_number 1
_cell_length_a 4.298
_cell_length_b 4.148
_cell_length_c 7.090
_cell_angle_alpha 90.00
_cell_angle_beta 90.00
_cell_angle_gamma 90.00
loop_
_space_group_symop_operation_xyz
'x,y,z'
loop_
_atom_site_label
_atom_site_type_symbol
_atom_site_fract_x
_atom_site_fract_y
_atom_site_fract_z
Pr1 Pr 0.000 0.500 0.994
Pr2 Pr 0.000 0.000 0.506
Zn1 Zn 0.500 0.500 0.330
Si1 Si 0.500 0.000 0.835
Si2 Si 0.500 0.000 0.167
Si3 Si 0.500 0.500 0.667
```



Q: Which of them is the least stable? A: b.



a:
First-principles (PBE) data for a relaxed structure of PrSm3, as listed in Alexandria via LeMat-Bulk.

Geometry as CIF:
```
data_PrSm3
_space_group_name_H-M_alt 'P 1'
_space_group_IT_number 1
_cell_length_a 5.159
_cell_length_b 5.159
_cell_length_c 5.159
_cell_angle_alpha 90.00
_cell_angle_beta 90.00
_cell_angle_gamma 90.00
loop_
_space_group_symop_operation_xyz
'x,y,z'
loop_
_atom_site_label
_atom_site_type_symbol
_atom_site_fract_x
_atom_site_fract_y
_atom_site_fract_z
Pr1 Pr 0.000 0.000 0.000
Sm1 Sm 0.000 0.500 0.500
Sm2 Sm 0.500 0.000 0.500
Sm3 Sm 0.500 0.500 0.000
```



b:
First-principles (PBE) data for a relaxed structure of PrSm3, as listed in Alexandria via LeMat-Bulk.

Geometry as CIF:
```
data_PrSm3
_space_group_name_H-M_alt 'P 1'
_space_group_IT_number 1
_cell_length_a 7.395
_cell_length_b 7.395
_cell_length_c 5.876
_cell_angle_alpha 90.00
_cell_angle_beta 90.00
_cell_angle_gamma 120.00
loop_
_space_group_symop_operation_xyz
'x,y,z'
loop_
_atom_site_label
_atom_site_type_symbol
_atom_site_fract_x
_atom_site_fract_y
_atom_site_fract_z
Pr1 Pr 0.333 0.667 0.750
Pr2 Pr 0.667 0.333 0.250
Sm1 Sm 0.166 0.333 0.250
Sm2 Sm 0.667 0.834 0.250
Sm3 Sm 0.166 0.834 0.250
Sm4 Sm 0.834 0.667 0.750
Sm5 Sm 0.333 0.166 0.750
Sm6 Sm 0.834 0.166 0.750
```



Q: Which of them is the least stable? A: b.



a:
First-principles (PBE) data for a relaxed structure of PrSm3, as listed in Alexandria via LeMat-Bulk.

Geometry as CIF:
```
data_PrSm3
_space_group_name_H-M_alt 'P 1'
_space_group_IT_number 1
_cell_length_a 6.338
_cell_length_b 6.338
_cell_length_c 6.338
_cell_angle_alpha 132.03
_cell_angle_beta 132.03
_cell_angle_gamma 70.18
loop_
_space_group_symop_operation_xyz
'x,y,z'
loop_
_atom_site_label
_atom_site_type_symbol
_atom_site_fract_x
_atom_site_fract_y
_atom_site_fract_z
Pr1 Pr 0.000 0.000 0.000
Sm1 Sm 0.750 0.250 0.500
Sm2 Sm 0.250 0.750 0.500
Sm3 Sm 0.500 0.500 0.000
```



b:
First-principles (PBE) data for a relaxed structure of PrSm3, as listed in Alexandria via LeMat-Bulk.

Geometry as CIF:
```
data_PrSm3
_space_group_name_H-M_alt 'P 1'
_space_group_IT_number 1
_cell_length_a 3.683
_cell_length_b 6.378
_cell_length_c 6.961
_cell_angle_alpha 117.27
_cell_angle_beta 105.34
_cell_angle_gamma 90.00
loop_
_space_group_symop_operation_xyz
'x,y,z'
loop_
_atom_site_label
_atom_site_type_symbol
_atom_site_fract_x
_atom_site_fract_y
_atom_site_fract_z
Pr1 Pr 0.000 0.001 0.000
Sm1 Sm 0.249 0.581 0.498
Sm2 Sm 0.500 0.502 0.000
Sm3 Sm 0.751 0.083 0.502
```



Q: Which of them is the least stable? A: b.



a:
First-principles (PBE) data for a relaxed structure of PrSm3, as listed in Alexandria via LeMat-Bulk.

Geometry as CIF:
```
data_PrSm3
_space_group_name_H-M_alt 'P 1'
_space_group_IT_number 1
_cell_length_a 5.800
_cell_length_b 5.800
_cell_length_c 5.800
_cell_angle_alpha 60.00
_cell_angle_beta 60.00
_cell_angle_gamma 60.00
loop_
_space_group_symop_operation_xyz
'x,y,z'
loop_
_atom_site_label
_atom_site_type_symbol
_atom_site_fract_x
_atom_site_fract_y
_atom_site_fract_z
Pr1 Pr 0.500 0.500 0.500
Sm1 Sm 0.000 0.000 0.000
Sm2 Sm 0.750 0.750 0.750
Sm3 Sm 0.250 0.250 0.250
```



b:
First-principles (PBE) data for a relaxed structure of PrSm3, as listed in Alexandria via LeMat-Bulk.

Geometry as CIF:
```
data_PrSm3
_space_group_name_H-M_alt 'P 1'
_space_group_IT_number 1
_cell_length_a 3.648
_cell_length_b 5.165
_cell_length_c 7.299
_cell_angle_alpha 90.00
_cell_angle_beta 89.98
_cell_angle_gamma 90.00
loop_
_space_group_symop_operation_xyz
'x,y,z'
loop_
_atom_site_label
_atom_site_type_symbol
_atom_site_fract_x
_atom_site_fract_y
_atom_site_fract_z
Pr1 Pr 0.500 0.500 0.750
Sm1 Sm 0.000 0.000 0.002
Sm2 Sm 0.500 0.500 0.250
Sm3 Sm 0.000 0.000 0.498
```



Q: Which of them is the least stable? A: a.



a:
First-principles (PBE) data for a relaxed structure of Pr7Sm2, as listed in Alexandria via LeMat-Bulk.

Geometry as CIF:
```
data_Pr7Sm2
_space_group_name_H-M_alt 'P 1'
_space_group_IT_number 1
_cell_length_a 6.409
_cell_length_b 6.409
_cell_length_c 9.026
_cell_angle_alpha 90.00
_cell_angle_beta 90.00
_cell_angle_gamma 120.00
loop_
_space_group_symop_operation_xyz
'x,y,z'
loop_
_atom_site_label
_atom_site_type_symbol
_atom_site_fract_x
_atom_site_fract_y
_atom_site_fract_z
Pr1 Pr 0.000 0.000 0.000
Pr2 Pr 0.666 0.000 0.331
Pr3 Pr 0.000 0.666 0.331
Pr4 Pr 0.334 0.334 0.331
Pr5 Pr 0.000 0.334 0.669
Pr6 Pr 0.334 0.000 0.669
Pr7 Pr 0.666 0.666 0.669
Sm1 Sm 0.333 0.667 0.000
Sm2 Sm 0.667 0.333 0.000
```



b:
First-principles (PBE) data for a relaxed structure of Pr7Sm2, as listed in Alexandria via LeMat-Bulk.

Geometry as CIF:
```
data_Pr7Sm2
_space_group_name_H-M_alt 'P 1'
_space_group_IT_number 1
_cell_length_a 3.622
_cell_length_b 10.125
_cell_length_c 10.125
_cell_angle_alpha 120.00
_cell_angle_beta 90.00
_cell_angle_gamma 90.00
loop_
_space_group_symop_operation_xyz
'x,y,z'
loop_
_atom_site_label
_atom_site_type_symbol
_atom_site_fract_x
_atom_site_fract_y
_atom_site_fract_z
Pr1 Pr 0.500 0.644 0.000
Pr2 Pr 0.500 0.000 0.644
Pr3 Pr 0.500 0.356 0.356
Pr4 Pr 0.000 0.311 0.000
Pr5 Pr 0.000 0.000 0.311
Pr6 Pr 0.000 0.689 0.689
Pr7 Pr 0.500 0.000 0.000
Sm1 Sm 0.000 0.667 0.333
Sm2 Sm 0.000 0.333 0.667
```



Q: Which of them is the least stable? A: b.



a:
First-principles (PBE) data for a relaxed structure of PrSm4, as listed in Alexandria via LeMat-Bulk.

Geometry as CIF:
```
data_PrSm4
_space_group_name_H-M_alt 'P 1'
_space_group_IT_number 1
_cell_length_a 6.363
_cell_length_b 6.363
_cell_length_c 9.882
_cell_angle_alpha 104.17
_cell_angle_beta 104.17
_cell_angle_gamma 108.27
loop_
_space_group_symop_operation_xyz
'x,y,z'
loop_
_atom_site_label
_atom_site_type_symbol
_atom_site_fract_x
_atom_site_fract_y
_atom_site_fract_z
Pr1 Pr 0.828 0.172 0.000
Pr2 Pr 0.172 0.828 0.000
Sm1 Sm 0.818 0.818 0.576
Sm2 Sm 0.329 0.724 0.685
Sm3 Sm 0.671 0.276 0.315
Sm4 Sm 0.182 0.182 0.424
Sm5 Sm 0.276 0.671 0.315
Sm6 Sm 0.711 0.711 0.153
Sm7 Sm 0.724 0.329 0.685
Sm8 Sm 0.289 0.289 0.847
```



b:
First-principles (PBE) data for a relaxed structure of PrSm4, as listed in Alexandria via LeMat-Bulk.

Geometry as CIF:
```
data_PrSm4
_space_group_name_H-M_alt 'P 1'
_space_group_IT_number 1
_cell_length_a 5.785
_cell_length_b 5.785
_cell_length_c 5.785
_cell_angle_alpha 90.00
_cell_angle_beta 90.00
_cell_angle_gamma 90.00
loop_
_space_group_symop_operation_xyz
'x,y,z'
loop_
_atom_site_label
_atom_site_type_symbol
_atom_site_fract_x
_atom_site_fract_y
_atom_site_fract_z
Pr1 Pr 0.500 0.500 0.500
Sm1 Sm 0.000 0.000 0.000
Sm2 Sm 0.500 0.000 0.500
Sm3 Sm 0.000 0.500 0.500
Sm4 Sm 0.500 0.500 0.000
```



Q: Which of them is the least stable? A: b.